Record 1
## Fe3TeAs (SCAN)

Data for a crystal of Fe3TeAs relaxed with PBEsol.

Output
Raw total energy (hartree per atom): -0.774
Space group: Pm-3m, No. 221
Uncorrected formation energy (eV per atom): 1.301
M_tot (μB/cell): 8.5

Cell: 4.6335 4.6335 4.6335 Å, 90.00 90.00 90.00°
With the nearest neighbours (Å) after each atom.
Fractional coordinates of all 5 atoms:
1 As 0.5000 0.5000 0.5000  12 Fe 3.28
2 Te 0.0000 0.0000 0.0000  6 Fe 2.32
3 Fe 0.0000 0.5000 0.0000  2 Te 2.32
4 Fe 0.0000 0.0000 0.5000  2 Te 2.32
5 Fe 0.5000 0.0000 0.0000  2 Te 2.32

=====

Record 2
## FeTeAs (SCAN)

Data for a crystal of FeTeAs relaxed with PBEsol.

Output
Raw total energy (hartree per atom): -0.930
Space group: P2_1/c, No. 14
Uncorrected formation energy (eV per atom): -0.104
M_tot (μB/cell): 0.0

Cell: 6.0414 6.1271 6.2086 Å, 114.45 90.00 90.00°
With the nearest neighbours (Å) after each atom.
Fractional coordinates of all 12 atoms:
1 As 0.3557 0.6385 0.8851  3 Fe 2.40-2.42
2 As 0.8557 0.3615 0.6149  3 Fe 2.40-2.42
3 As 0.1443 0.6385 0.3851  3 Fe 2.40-2.42
4 As 0.6443 0.3615 0.1149  3 Fe 2.40-2.42
5 Te 0.8659 0.8414 0.1786  3 Fe 2.44-2.47, 1 As 2.71
6 Te 0.3659 0.1586 0.3214  3 Fe 2.44-2.47, 1 As 2.71
7 Te 0.6341 0.8414 0.6786  3 Fe 2.44-2.47, 1 As 2.71
8 Te 0.1341 0.1586 0.8214  3 Fe 2.44-2.47, 1 As 2.71
9 Fe 0.5086 0.2383 0.7153  3 As 2.40-2.42, 3 Te 2.44-2.47
10 Fe 0.4914 0.7617 0.2847  3 As 2.40-2.42, 3 Te 2.44-2.47
11 Fe 0.0086 0.7617 0.7847  3 As 2.40-2.42, 3 Te 2.44-2.47
12 Fe 0.9914 0.2383 0.2153  3 As 2.40-2.42, 3 Te 2.44-2.47

=====

Record 3
## Fe2TeAs (SCAN)

Data for a crystal of Fe2TeAs relaxed with PBEsol.

Output
Raw total energy (hartree per atom): -0.846
Space group: Fm-3m, No. 225
Relative energy among the computed polymorphs (meV per atom): 386
Uncorrected formation energy (eV per atom): 0.409
M_tot (μB/cell): 3.9

Cell: 4.3390 4.3390 4.3390 Å, 60.00 60.00 60.00°
With the nearest neighbours (Å) after each atom.
Fractional coordinates of all 4 atoms:
1 As 0.0000 0.0000 0.0000  8 Fe 2.66
2 Fe 0.2500 0.2500 0.2500  4 As 2.66, 4 Te 2.66
3 Fe 0.7500 0.7500 0.7500  4 As 2.66, 4 Te 2.66
4 Te 0.5000 0.5000 0.5000  8 Fe 2.66

=====

Record 4
## Fe2TeAs (SCAN)

Data for a crystal of Fe2TeAs relaxed with PBEsol.

Output
Raw total energy (hartree per atom): -0.860
Space group: P4mm, No. 99
Relative energy among the computed polymorphs (meV per atom): 0
Uncorrected formation energy (eV per atom): 0.023
M_tot (μB/cell): 5.1

Cell: 3.1106 3.1106 6.9991 Å, 90.00 90.00 90.00°
With the nearest neighbours (Å) after each atom.
Fractional coordinates of all 4 atoms:
1 As 0.5000 0.5000 0.8495  5 Fe 2.49-2.52
2 Fe 0.0000 0.0000 0.0257  4 As 2.52, 4 Fe 2.54, 1 Te 2.75
3 Fe 0.5000 0.5000 0.2060  1 As 2.49, 4 Fe 2.54, 4 Te 2.66
4 Te 0.0000 0.0000 0.4188  5 Fe 2.66-2.75

=====

Record 5
## FeTe2As (SCAN)

Data for a crystal of FeTe2As relaxed with PBEsol.

Output
Raw total energy (hartree per atom): -1.017
Space group: P4/mmm, No. 123
Uncorrected formation energy (eV per atom): 0.527
M_tot (μB/cell): 3.0

Cell: 3.3424 4.9431 4.9401 Å, 90.00 90.00 90.00°
With the nearest neighbours (Å) after each atom.
Fractional coordinates of all 4 atoms:
1 As 0.5000 0.5000 0.0000  8 Te 2.98
2 Fe 0.5000 0.0000 0.5000  8 Te 2.98
3 Te 0.0000 0.0000 0.0000  4 Fe 2.98, 4 As 2.98
4 Te 0.0000 0.5000 0.5000  4 As 2.98, 4 Fe 2.98

=====

Record 6
## FeTeAs (SCAN)

Data for a crystal of FeTeAs relaxed with PBEsol.

Output
Raw total energy (hartree per atom): -0.918
Space group: I4mm, No. 107
Uncorrected formation energy (eV per atom): 0.215
M_tot (μB/cell): 1.2

Cell: 3.0065 3.0065 6.3501 Å, 103.69 103.69 90.00°
With the nearest neighbours (Å) after each atom.
Fractional coordinates of all 3 atoms:
1 As 0.0430 0.0430 0.0859  4 Fe 2.54
2 Fe 0.6592 0.6592 0.3184  4 As 2.54, 4 Te 2.70
3 Te 0.2978 0.2978 0.5956  4 Fe 2.70, 4 Te 3.01

=====

Record 7
## FeTe2As (SCAN)

Data for a crystal of FeTe2As relaxed with PBEsol.

Output
Raw total energy (hartree per atom): -1.027
Space group: I4/mmm, No. 139
Uncorrected formation energy (eV per atom): 0.268
M_tot (μB/cell): 3.3

Cell: 4.8996 4.8938 4.8938 Å, 106.82 110.85 110.85°
With the nearest neighbours (Å) after each atom.
Fractional coordinates of all 4 atoms:
1 As 0.5000 0.5000 0.5000  4 Te 2.78, 2 Fe 2.92
2 Fe 0.5000 0.0000 0.0000  4 Te 2.78, 2 As 2.92
3 Te 0.0000 0.5000 0.0000  2 As 2.78, 2 Fe 2.78, 2 Te 2.92
4 Te 0.0000 0.0000 0.5000  2 Fe 2.78, 2 As 2.78, 2 Te 2.92

=====

Record 8
## Fe2TeAs (SCAN)

Data for a crystal of Fe2TeAs relaxed with PBEsol.

Output
Raw total energy (hartree per atom): -0.845
Space group: P4/mmm, No. 123
Relative energy among the computed polymorphs (meV per atom): 398
Uncorrected formation energy (eV per atom): 0.421
M_tot (μB/cell): 4.1

Cell: 3.1096 4.3243 4.3243 Å, 89.96 90.00 90.00°
With the nearest neighbours (Å) after each atom.
Fractional coordinates of all 4 atoms:
1 As 0.5000 0.5000 0.5000  8 Fe 2.66
2 Fe 0.0000 0.5000 0.0000  4 As 2.66, 4 Te 2.66
3 Fe 0.0000 0.0000 0.5000  4 Te 2.66, 4 As 2.66
4 Te 0.5000 0.0000 0.0000  8 Fe 2.66

=====

Record 9
## TiFeAs2 (SCAN)

Data for a crystal of TiFeAs2 relaxed with PBEsol.

Output
Raw total energy (hartree per atom): -0.694
Space group: Fm-3m, No. 225
Calculated formation energy (eV/atom): -0.25
M_tot (μB/cell): 2.3

Cell: 4.3175 4.3175 4.3175 Å, 60.00 60.00 60.00°
With the nearest neighbours (Å) after each atom.
Fractional coordinates of all 4 atoms:
1 As 0.2500 0.2500 0.2500  4 Ti 2.64, 4 Fe 2.64
2 As 0.7500 0.7500 0.7500  4 Ti 2.64, 4 Fe 2.64
3 Fe 0.5000 0.5000 0.5000  8 As 2.64
4 Ti 0.0000 0.0000 0.0000  8 As 2.64

=====

Record 10
## Ti3FeAs (SCAN)

Data for a crystal of Ti3FeAs relaxed with PBEsol.

Output
Raw total energy (hartree per atom): -0.622
Space group: Pm-3m, No. 221
Calculated formation energy (eV/atom): 0.35
M_tot (μB/cell): 2.4

Cell: 4.5909 4.5909 4.5909 Å, 90.00 90.00 90.00°
With the nearest neighbours (Å) after each atom.
Fractional coordinates of all 5 atoms:
1 As 0.0000 0.0000 0.0000  6 Ti 2.30
2 Fe 0.5000 0.5000 0.5000  12 Ti 3.25
3 Ti 0.0000 0.5000 0.0000  2 As 2.30
4 Ti 0.0000 0.0000 0.5000  2 As 2.30
5 Ti 0.5000 0.0000 0.0000  2 As 2.30

=====

Record 11
## UFeAs2 (SCAN)

Data for a crystal of UFeAs2 relaxed with PBEsol.

Output
Raw total energy (hartree per atom): -1.506
Space group: P4/nmm, No. 129
Calculated formation energy (eV/atom): -0.47
M_tot (μB/cell): 1.0

Cell: 3.9296 3.9296 8.5595 Å, 90.00 90.00 90.00°
With the nearest neighbours (Å) after each atom.
Fractional coordinates of all 8 atoms:
1 U 0.0000 0.5000 0.7421  4 Fe 2.86, 8 As 2.87-2.96
2 U 0.5000 0.0000 0.2579  4 Fe 2.86, 8 As 2.87-2.96
3 Fe 0.5000 0.5000 0.5000  4 As 2.39
4 Fe 0.0000 0.0000 0.5000  4 As 2.39
5 As 0.5000 0.5000 0.0000  4 As 2.78, 4 U 2.96
6 As 0.0000 0.0000 0.0000  4 As 2.78, 4 U 2.96
7 As 0.0000 0.5000 0.3405  4 Fe 2.39
8 As 0.5000 0.0000 0.6595  4 Fe 2.39

=====

Record 12
## Fe2As2W (SCAN)

Data for a crystal of Fe2As2W relaxed with PBEsol.

Output
Raw total energy (hartree per atom): -1.053
Space group: I4/mmm, No. 139
Calculated formation energy (eV/atom): 0.60
M_tot (μB/cell): 0.9

Cell: 3.7473 3.7473 5.4524 Å, 110.10 110.10 90.00°
With the nearest neighbours (Å) after each atom.
Fractional coordinates of all 5 atoms:
1 As 0.3766 0.3766 0.7533  4 Fe 2.23, 1 As 2.35
2 As 0.6234 0.6234 0.2467  4 Fe 2.23, 1 As 2.35
3 Fe 0.2500 0.7500 0.5000  4 As 2.23
4 Fe 0.7500 0.2500 0.5000  4 As 2.23
5 W 0.0000 0.0000 0.0000  8 As 2.90, 8 Fe 3.03

=====

Record 13
## FeAsW2 (SCAN)

Data for a crystal of FeAsW2 relaxed with PBEsol.

Output
Raw total energy (hartree per atom): -1.615
Space group: R-3m, No. 166
Calculated formation energy (eV/atom): 0.47
M_tot (μB/cell): 1.5

Cell: 2.7930 2.7930 8.6703 Å, 80.73 80.73 60.00°
With the nearest neighbours (Å) after each atom.
Fractional coordinates of all 4 atoms:
1 As 0.5000 0.5000 0.5000  6 W 2.76, 6 As 2.79
2 Fe 0.0000 0.0000 0.0000  6 W 2.59, 6 Fe 2.79
3 W 0.2541 0.2541 0.2378  3 Fe 2.59, 3 As 2.76, 6 W 2.79
4 W 0.7459 0.7459 0.7622  3 Fe 2.59, 3 As 2.76, 6 W 2.79

=====

Record 14
## FeAsW (SCAN)

Data for a crystal of FeAsW relaxed with PBEsol.

Output
Raw total energy (hartree per atom): -1.307
Space group: F-43m, No. 216
Calculated formation energy (eV/atom): 0.43
M_tot (μB/cell): 1.1

Cell: 4.0929 4.0929 4.0929 Å, 60.00 60.00 60.00°
With the nearest neighbours (Å) after each atom.
Fractional coordinates of all 3 atoms:
1 As 0.0000 0.0000 0.0000  4 W 2.51
2 Fe 0.5000 0.5000 0.5000  4 W 2.51
3 W 0.2500 0.2500 0.2500  4 As 2.51, 4 Fe 2.51

=====

Record 15
## FeAsW2 (SCAN)

Data for a crystal of FeAsW2 relaxed with PBEsol.

Output
Raw total energy (hartree per atom): -1.616
Space group: C2/m, No. 12
Calculated formation energy (eV/atom): 0.44
M_tot (μB/cell): 0.0

Cell: 2.9616 4.3707 4.7106 Å, 101.21 108.32 90.00°
With the nearest neighbours (Å) after each atom.
Fractional coordinates of all 4 atoms:
1 As 0.5000 0.0000 0.0000  4 Fe 2.64, 6 W 2.67-2.76
2 Fe 0.0000 0.5000 0.0000  4 As 2.64, 6 W 2.67-2.69
3 W 0.2548 0.2614 0.5095  4 W 2.57-2.71, 3 As 2.67-2.76, 3 Fe 2.67-2.69
4 W 0.7452 0.7386 0.4905  4 W 2.57-2.71, 3 As 2.67-2.76, 3 Fe 2.67-2.69